Entry from Alexandria: crystalline CeCrN4 at its relaxed geometry (PBE).

Cell lengths 4.982, 4.982, 12.189 Å; angles 90.00, 90.00, 90.00 degrees
Space group I4_1/a (No. 88, origin choice 2)
Inequivalent atoms, fractional coordinates:
Ce  0.000  0.250  0.125
Cr  0.000  0.250  0.625
N  0.113  0.484  0.296

Properties
Electronic total energy, eV per atom: -8.29
Calculated density, g/cm3: 5.45
M_tot, μB/f.u.: 0.0
Raw formation energy, kJ per mole of atoms: -14.2